Here is an optimized crystal structure of Sr2Ga2Ge2P from Alexandria. Energies are from PBE.

E, eV for the cell shown: -27.4
SG: No. 2
Magnetization, μB per cell: 0.0

Unit cell a=4.0261 b=6.0166 c=7.9749 alpha=73.91 beta=75.39 gamma=89.90
Closest atoms and distances in Å follow each position.
Fractional coordinates of all 7 atoms:
1 Sr 0.1233 0.2918 0.2519  2 P 2.98, 3 Ge 3.30-3.31
2 Sr 0.8767 0.7082 0.7481  2 P 2.98, 3 Ge 3.30-3.31
3 Ga 0.4077 0.2634 0.6842  1 P 2.41
4 Ga 0.5923 0.7366 0.3158  1 P 2.41
5 Ge 0.2308 0.8524 0.0393  2 Ge 2.64, 2 Ga 2.87
6 Ge 0.7692 0.1475 0.9607  2 Ge 2.64, 2 Ga 2.87
7 P 0.5000 0.0000 0.5000  2 Ga 2.41